Record 1
28
Lattice="-4.889 -1.597 -3.289 -6.716 -7.089 7.759 -5.243 10.869 -3.152" Properties=species:S:1:pos:R:3 comment="MgIn7Hg6 PBE optimized geometry" energy_ev_per_atom=-1.585 crystal_system=orthorhombic pbc="T T T"
Hg -11.224 -0.505 2.791
In -7.876 4.353 -3.357
In -9.662 -4.968 1.393
In -7.186 7.151 -0.075
In -9.006 9.040 -5.275
In -7.842 -6.856 6.593
In -12.636 1.637 0.989
Hg -6.825 8.449 -2.920
In -8.972 -2.170 4.675
Hg -9.686 2.583 -1.486
Hg -14.421 -0.758 1.943
Hg -5.624 2.688 -1.473
In -7.197 2.093 1.076
In -4.212 0.546 0.330
Hg -8.431 4.823 1.662
Hg -8.417 -2.640 -0.344
Mg -10.192 2.436 2.633
In -5.380 5.777 -2.092
In -9.651 0.090 0.242
Hg -7.163 -0.400 2.804
In -9.682 5.728 -1.340
Hg -5.268 -2.403 0.471
Hg -11.580 4.586 0.847
In -7.166 -3.545 2.658
Mg -6.657 -0.253 -1.315
Hg -2.428 2.941 -0.625
Hg -10.023 -6.266 4.238
In -11.468 -3.594 3.410

Record 2
10
Lattice="4.249 0.000 0.000 0.000 7.266 -1.209 -2.125 -2.295 8.780" Properties=species:S:1:pos:R:3 comment="Tb5ErIr4 PBE optimized geometry" energy_ev_per_atom=-6.968 crystal_system=monoclinic pbc="T T T"
Tb 0.000 5.941 1.787
Ir 0.000 5.436 -0.904
Tb 0.000 2.207 2.407
Er 2.125 0.000 0.000
Tb 2.125 -0.970 5.784
Ir 0.000 4.438 4.311
Ir 2.125 -0.466 8.476
Ir 2.125 0.533 3.260
Tb 2.125 2.764 5.164
Tb 2.125 3.633 -0.605

Number 1: D(E_F) 11.7 states/eV per cell, formation energy 0.027 eV per atom. Number 2: D(E_F) 4.1 states/eV per cell, formation energy -0.653 eV per atom.